Density functional theory data (PBE) for a relaxed HfZr4Pb2 crystal.

Lattice parameters (Å, degrees): 7.6913 6.0124 8.0544 90.00 115.81 90.00
Positions (direct):
Hf 0.0884 0.2500 0.3487
Hf 0.9116 0.7500 0.6513
Zr 0.2110 0.7500 0.0743
Zr 0.3444 0.0010 0.7757
Zr 0.3444 0.4990 0.7757
Zr 0.4797 0.7500 0.4989
Zr 0.5203 0.2500 0.5011
Zr 0.6556 0.5010 0.2243
Zr 0.6556 0.9990 0.2243
Zr 0.7890 0.2500 0.9257
Pb 0.0619 0.7500 0.3736
Pb 0.2597 0.2500 0.0793
Pb 0.7403 0.7500 0.9207
Pb 0.9381 0.2500 0.6264

## Properties
D(E_F), states/eV/atom: 0.992
Calculated formation energy, eV per atom: -0.01
Total magnetic moment, μB per atom: 0.000
Symmetry: P2_1/m

Density functional theory data (PBE) for a relaxed Rb3BiTe3 crystal.

Lattice parameters (Å, degrees): 9.1721 9.1721 9.2293 93.36 93.36 113.76
Positions (direct):
Rb 0.1730 0.8270 0.0000
Rb 0.2286 0.7714 0.5000
Rb 0.3811 0.3811 0.1311
Rb 0.6189 0.6189 0.8689
Rb 0.7714 0.2286 0.5000
Rb 0.8270 0.1730 0.0000
Bi 0.2000 0.2000 0.6359
Bi 0.8000 0.8000 0.3641
Te 0.0754 0.0754 0.2816
Te 0.1662 0.4742 0.7873
Te 0.4742 0.1662 0.7873
Te 0.5258 0.8338 0.2127
Te 0.8338 0.5258 0.2127
Te 0.9246 0.9246 0.7184

## Properties
Total magnetic moment, μB per atom: 0.000
Symmetry: C2/m
Formation energy (no corrections), eV per atom: -0.7696

What did the first record say?
Density functional theory data (PBE) for a relaxed HfZr4Pb2 crystal.

Lattice parameters (Å, degrees): 7.6913 6.0124 8.0544 90.00 115.81 90.00
Positions (direct):
Hf 0.0884 0.2500 0.3487
Hf 0.9116 0.7500 0.6513
Zr 0.2110 0.7500 0.0743
Zr 0.3444 0.0010 0.7757
Zr 0.3444 0.4990 0.7757
Zr 0.4797 0.7500 0.4989
Zr 0.5203 0.2500 0.5011
Zr 0.6556 0.5010 0.2243
Zr 0.6556 0.9990 0.2243
Zr 0.7890 0.2500 0.9257
Pb 0.0619 0.7500 0.3736
Pb 0.2597 0.2500 0.0793
Pb 0.7403 0.7500 0.9207
Pb 0.9381 0.2500 0.6264

## Properties
D(E_F), states/eV/atom: 0.992
Calculated formation energy, eV per atom: -0.01
Total magnetic moment, μB per atom: 0.000
Symmetry: P2_1/m

Which value of total magnetic moment does entry 2 give?
0.000 μB per atom